Record 1
Entry from Alexandria: NpGe2Ir after structural relaxation (PBE-GGA).

Lattice parameters (Å, degrees): 2.936 2.936 10.030 81.58 81.58 60.00
Fractional coordinates of all 4 atoms:
1 Ir 0.500 0.500 0.500
2 Np 0.000 0.000 0.000
3 Ge 0.100 0.100 0.701
4 Ge 0.900 0.900 0.299

Results
The space group is R-3m.


Record 2
Entry from Alexandria: NpGeIr2 after structural relaxation (PBE-GGA).

Lattice parameters (Å, degrees): 3.898 3.546 5.707 90.03 90.00 90.00
Fractional coordinates of all 4 atoms:
1 Ge 0.500 0.000 0.500
2 Ir 0.000 0.000 0.761
3 Ir 0.000 0.000 0.239
4 Np 0.500 0.500 0.000

Results
The space group is Pmmm.


Record 3
Entry from Alexandria: NpGeIr2 after structural relaxation (PBE-GGA).

Lattice parameters (Å, degrees): 4.243 4.243 5.262 66.22 66.22 60.00
Fractional coordinates of all 4 atoms:
1 Np 0.000 0.000 0.000
2 Ir 0.223 0.223 0.332
3 Ir 0.777 0.777 0.668
4 Ge 0.500 0.500 0.500

Results
The space group is R-3m.


Record 4
Entry from Alexandria: NpGe3Ir3 after structural relaxation (PBE-GGA).

Lattice parameters (Å, degrees): 6.761 6.761 6.761 90.00 90.00 90.00
Fractional coordinates of all 14 atoms:
1 Ir 0.000 0.250 0.500
2 Ir 0.500 0.000 0.750
3 Ir 0.250 0.500 0.000
4 Ir 0.750 0.500 0.000
5 Ir 0.500 0.000 0.250
6 Ir 0.000 0.750 0.500
7 Ge 0.500 0.750 0.000
8 Ge 0.250 0.000 0.500
9 Ge 0.000 0.500 0.250
10 Ge 0.750 0.000 0.500
11 Ge 0.500 0.250 0.000
12 Ge 0.000 0.500 0.750
13 Np 0.500 0.500 0.500
14 Np 0.000 0.000 0.000

Results
The space group is Pm-3n.


Record 5
Entry from Alexandria: NpGeIr2 after structural relaxation (PBE-GGA).

Lattice parameters (Å, degrees): 2.997 2.997 7.476 90.00 90.00 90.00
Fractional coordinates of all 4 atoms:
1 Ge 0.500 0.500 0.000
2 Np 0.500 0.500 0.500
3 Ir 0.000 0.000 0.208
4 Ir 0.000 0.000 0.792

Results
The space group is P4/mmm.


Record 6
Entry from Alexandria: Np4Ge12Ir after structural relaxation (PBE-GGA).

Lattice parameters (Å, degrees): 7.475 7.475 7.475 109.47 109.47 109.47
Fractional coordinates of all 17 atoms:
1 Ge 0.000 0.707 0.707
2 Ge 0.250 0.750 0.500
3 Ge 0.000 0.293 0.293
4 Ge 0.707 0.000 0.707
5 Ge 0.707 0.707 0.000
6 Ge 0.293 0.000 0.293
7 Ge 0.750 0.250 0.500
8 Ge 0.250 0.500 0.750
9 Ge 0.750 0.500 0.250
10 Ge 0.500 0.250 0.750
11 Ge 0.293 0.293 0.000
12 Ge 0.500 0.750 0.250
13 Np 0.500 0.000 0.000
14 Np 0.000 0.000 0.500
15 Np 0.500 0.500 0.500
16 Np 0.000 0.500 0.000
17 Ir 0.000 0.000 0.000

Results
The space group is Im-3m.


So what do the calculations give for DOS(E_F)? Going down the list: 0.843, 2.237, 1.502, 2.487, 1.239, 1.998 states/eV/atom.
So what do the calculations give for DFT total energy? Going down the list: -30.59, -35.76, -36.37, -104.46, -36.01, -119.15 eV/cell.
So what do the calculations give for total magnetization? Going down the list: 0.83, 0.74, 0.78, 0.67, 0.83, 0.91 μB per atom.